## BaScV2O8 (GGA+U)

Data for BaScV2O8 after structural relaxation. Values from VASP.

Structure (Quantum ESPRESSO input):
```
&SYSTEM
  ibrav = 0, nat = 12, ntyp = 4
/
ATOMIC_SPECIES
Ba 137.33 Ba.upf
Sc 44.96 Sc.upf
V 50.94 V.upf
O 16.00 O.upf
CELL_PARAMETERS angstrom
5.6815 0.0000 0.0000
-2.8407 4.9203 0.0000
0.0000 0.0000 7.4203
ATOMIC_POSITIONS crystal
Ba 0.0000 0.0000 0.0000
Sc 0.0000 0.0000 0.5000
V 0.6667 0.3333 0.2479
V 0.3333 0.6667 0.7521
O 0.3333 0.6667 0.9808
O 0.3280 0.1639 0.3201
O 0.8361 0.1641 0.3201
O 0.6667 0.3333 0.0192
O 0.1639 0.8359 0.6799
O 0.6720 0.8361 0.6799
O 0.1641 0.3280 0.6799
O 0.8359 0.6720 0.3201
```

Summary:
Magnetization in μB/f.u.: 1.06
Total DFT energy (no corrections) in eV/cell: -90.97
DOS(E_F) in states/eV per cell: 8.85
SG: No. 164